1.
{
  "formula": "InTePd3",
  "functional": "GGA-PBE",
  "state": "relaxed",
  "e_form_raw_ev_per_atom": -0.3145,
  "e_tot_ev_per_atom": -4.606,
  "de_polymorph_mev_per_atom": 0,
  "magnetic_moment_mub_per_fu": 0.00,
  "space_group": "Cmmm, No. 65",
  "cell": [[3.2815, -0.0004, -0.0007], [0.0015, 8.6366, 1.3051], [0.0023, 4.2258, 7.6444]],
  "species": ["Pd", "In", "Pd", "Pd", "Te", "Pd", "Pd", "Pd", "In", "Te"],
  "fractional_positions": [[0.8633, 0.7841, 0.4475], [0.3632, 0.6943, 0.7464], [0.8633, 0.9931, 0.6565], [0.8633, 0.6041, 0.0454], [0.3634, 0.1943, 0.7464], [0.3631, 0.0565, 0.1088], [0.3631, 0.3317, 0.3840], [0.8633, 0.3952, 0.8365], [0.8629, 0.1941, 0.2465], [0.3634, 0.6941, 0.2464]]
}

---

2.
{
  "formula": "In3TePd",
  "functional": "GGA-PBE",
  "state": "relaxed",
  "e_form_raw_ev_per_atom": -0.2330,
  "e_tot_ev_per_atom": -3.543,
  "de_polymorph_mev_per_atom": 0,
  "magnetic_moment_mub_per_fu": 0.00,
  "space_group": "Pm-3m, No. 221",
  "cell": [[5.2516, 0.0000, 0.0000], [0.0000, 5.2516, 0.0000], [0.0000, 0.0000, 5.2516]],
  "species": ["In", "Pd", "In", "Te", "In"],
  "fractional_positions": [[0.0000, 0.0000, 0.5000], [0.0000, 0.0000, 0.0000], [0.0000, 0.5000, 0.0000], [0.5000, 0.5000, 0.5000], [0.5000, 0.0000, 0.0000]]
}

---

3.
{
  "formula": "In2TePd9",
  "functional": "GGA-PBE",
  "state": "relaxed",
  "e_form_raw_ev_per_atom": -0.3701,
  "e_tot_ev_per_atom": -4.983,
  "magnetic_moment_mub_per_fu": 0.00,
  "space_group": "P4/mmm, No. 123",
  "cell": [[4.0511, 0.0000, 0.0000], [0.0000, 4.0511, 0.0000], [0.0000, 0.0000, 12.1635]],
  "species": ["Pd", "Pd", "Pd", "Pd", "In", "Te", "Pd", "In", "Pd", "Pd", "Pd", "Pd"],
  "fractional_positions": [[0.5000, 0.5000, 0.6679], [0.5000, 0.0000, 0.5000], [0.5000, 0.5000, 0.0000], [0.5000, 0.5000, 0.3321], [0.0000, 0.0000, 0.3375], [0.0000, 0.0000, 0.0000], [0.5000, 0.0000, 0.1673], [0.0000, 0.0000, 0.6625], [0.0000, 0.5000, 0.5000], [0.0000, 0.5000, 0.8327], [0.0000, 0.5000, 0.1673], [0.5000, 0.0000, 0.8327]]
}

---

4.
{
  "formula": "InTe3Pd",
  "functional": "GGA-PBE",
  "state": "relaxed",
  "e_form_raw_ev_per_atom": -0.2197,
  "e_tot_ev_per_atom": -3.691,
  "de_polymorph_mev_per_atom": 0,
  "magnetic_moment_mub_per_fu": 0.00,
  "space_group": "R-3, No. 148",
  "cell": [[-4.2906, 3.8407, -4.3930], [-6.3169, -2.7639, -2.2174], [-6.4503, 2.9318, 2.8925]],
  "species": ["Te", "Te", "In", "Te", "Pd", "Te", "Pd", "In", "Te", "Te"],
  "fractional_positions": [[0.0210, 0.4343, 0.7468], [0.9790, 0.5657, 0.2532], [0.3803, 0.3803, 0.8591], [0.5657, 0.2020, 0.2532], [0.8399, 0.8399, 0.4802], [0.4343, 0.7980, 0.7468], [0.1601, 0.1601, 0.5198], [0.6197, 0.6197, 0.1409], [0.2020, 0.9790, 0.2532], [0.7980, 0.0210, 0.7468]]
}

---

5.
{
  "formula": "In2TePd",
  "functional": "GGA-PBE",
  "state": "relaxed",
  "e_form_raw_ev_per_atom": -0.1070,
  "e_tot_ev_per_atom": -3.560,
  "magnetic_moment_mub_per_fu": 0.00,
  "space_group": "I-42d, No. 122",
  "cell": [[-5.6620, -2.6192, -3.3755], [3.6821, -0.1493, -6.0607], [0.5471, -6.0588, -3.6691]],
  "species": ["Te", "Te", "In", "Pd", "In", "In", "In", "Pd"],
  "fractional_positions": [[0.0000, 0.0000, 0.0000], [0.7500, 0.2500, 0.5000], [0.5872, 0.1250, 0.2500], [0.2500, 0.7500, 0.5000], [0.3750, 0.4128, 0.7500], [0.8750, 0.8372, 0.7500], [0.1628, 0.6250, 0.2500], [0.5000, 0.5000, 0.0000]]
}

---

6.
{
  "formula": "InTe2Pd7",
  "functional": "GGA-PBE",
  "state": "relaxed",
  "e_form_raw_ev_per_atom": -0.3516,
  "e_tot_ev_per_atom": -4.889,
  "magnetic_moment_mub_per_fu": 0.00,
  "space_group": "I4/mmm, No. 139",
  "cell": [[-2.9835, 2.6166, -1.0225], [-2.5619, -1.9221, 2.5565], [5.9087, 6.4549, 7.4899]],
  "species": ["Pd", "Pd", "Pd", "Pd", "Te", "Pd", "Pd", "Te", "In", "Pd"],
  "fractional_positions": [[0.5000, 0.5000, 0.0000], [0.4108, 0.9108, 0.8216], [0.9108, 0.4108, 0.8216], [0.5892, 0.0892, 0.1784], [0.3323, 0.3323, 0.6646], [0.7500, 0.2500, 0.5000], [0.0892, 0.5892, 0.1784], [0.6677, 0.6677, 0.3354], [0.0000, 0.0000, 0.0000], [0.2500, 0.7500, 0.5000]]
}

---

7.
{
  "formula": "InTe12Pd7",
  "functional": "GGA-PBE",
  "state": "relaxed",
  "e_form_raw_ev_per_atom": -0.2337,
  "e_tot_ev_per_atom": -4.073,
  "magnetic_moment_mub_per_fu": 0.00,
  "space_group": "R-3, No. 148",
  "cell": [[8.4002, 0.1930, 0.2897], [-2.1503, 8.1226, 0.2897], [-2.1503, -2.8611, 7.6075]],
  "species": ["Pd", "Pd", "Pd", "Te", "Te", "Te", "Te", "Pd", "Te", "Te", "Te", "Te", "Pd", "Pd", "Te", "Te", "Te", "Te", "Pd", "In"],
  "fractional_positions": [[0.0549, 0.3526, 0.1209], [0.8791, 0.9451, 0.6474], [0.5000, 0.5000, 0.5000], [0.4567, 0.1581, 0.3874], [0.9579, 0.2914, 0.7787], [0.1581, 0.3874, 0.4567], [0.2213, 0.0421, 0.7086], [0.6474, 0.8791, 0.9451], [0.5433, 0.8419, 0.6126], [0.0421, 0.7086, 0.2213], [0.3874, 0.4567, 0.1581], [0.7086, 0.2213, 0.0421], [0.9451, 0.6474, 0.8791], [0.1209, 0.0549, 0.3526], [0.6126, 0.5433, 0.8419], [0.8419, 0.6126, 0.5433], [0.7787, 0.9579, 0.2914], [0.2914, 0.7787, 0.9579], [0.3526, 0.1209, 0.0549], [0.0000, 0.0000, 0.0000]]
}

---

8.
{
  "formula": "In2TePd",
  "functional": "GGA-PBE",
  "state": "relaxed",
  "e_form_raw_ev_per_atom": -0.2474,
  "e_tot_ev_per_atom": -3.700,
  "magnetic_moment_mub_per_fu": 0.00,
  "space_group": "R3m, No. 160",
  "cell": [[4.3222, 0.0000, 0.0000], [2.1611, 3.7431, 0.0000], [2.1611, 1.2477, 6.4413]],
  "species": ["Pd", "In", "Te", "In"],
  "fractional_positions": [[0.6603, 0.6603, 0.0191], [0.2693, 0.2693, 0.1920], [0.5097, 0.5097, 0.4708], [0.0606, 0.0606, 0.8181]]
}

---

9.
{
  "formula": "InTe2Pd",
  "functional": "GGA-PBE",
  "state": "relaxed",
  "e_form_raw_ev_per_atom": -0.1249,
  "e_tot_ev_per_atom": -3.679,
  "magnetic_moment_mub_per_fu": 0.00,
  "space_group": "R-3m, No. 166",
  "cell": [[2.2838, 0.0000, 9.2814], [-1.1419, 1.9779, 9.2814], [-1.1419, -1.9779, 9.2814]],
  "species": ["Te", "In", "Pd", "Te"],
  "fractional_positions": [[0.1147, 0.1147, 0.1147], [0.0000, 0.0000, 0.0000], [0.5000, 0.5000, 0.5000], [0.8853, 0.8853, 0.8853]]
}

---

10.
{
  "formula": "InTePd",
  "functional": "GGA-PBE",
  "state": "relaxed",
  "e_form_raw_ev_per_atom": -0.2386,
  "e_tot_ev_per_atom": -3.930,
  "de_polymorph_mev_per_atom": 92,
  "magnetic_moment_mub_per_fu": 0.00,
  "space_group": "P3m1, No. 156",
  "cell": [[4.7733, 0.0000, 0.0000], [0.0000, 4.2391, 0.0000], [0.0000, -2.1195, 3.6712]],
  "species": ["Pd", "In", "Te"],
  "fractional_positions": [[0.0132, 0.0000, 0.0000], [0.7262, 0.6667, 0.3333], [0.2606, 0.3333, 0.6667]]
}

---

11.
{
  "formula": "InTe2Pd",
  "functional": "GGA-PBE",
  "state": "relaxed",
  "e_form_raw_ev_per_atom": -0.2454,
  "e_tot_ev_per_atom": -3.799,
  "magnetic_moment_mub_per_fu": 0.00,
  "space_group": "R3m, No. 160",
  "cell": [[-2.8504, 1.7621, 2.3510], [-3.8888, 0.1569, -1.2686], [-3.5629, -5.8094, 3.5985]],
  "species": ["Te", "Pd", "In", "Te"],
  "fractional_positions": [[0.0653, 0.0653, 0.8040], [0.6675, 0.6675, 0.9975], [0.5007, 0.5007, 0.4979], [0.2665, 0.2665, 0.2006]]
}

---

12.
{
  "formula": "In2TePd4",
  "functional": "GGA-PBE",
  "state": "relaxed",
  "e_form_raw_ev_per_atom": 0.1054,
  "e_tot_ev_per_atom": -4.093,
  "magnetic_moment_mub_per_fu": 0.00,
  "space_group": "I4/mmm, No. 139",
  "cell": [[-4.6983, -0.3253, 1.5072], [-1.1073, -2.6517, -4.0242], [-1.3865, -7.3688, 2.1991]],
  "species": ["Te", "In", "In", "Pd", "Pd", "Pd", "Pd"],
  "fractional_positions": [[0.0000, 0.0000, 0.0000], [0.6312, 0.6312, 0.7376], [0.3688, 0.3688, 0.2624], [0.8174, 0.8174, 0.3653], [0.0000, 0.5000, 0.0000], [0.1826, 0.1826, 0.6347], [0.5000, 0.0000, 0.0000]]
}

---

no.,DOS at the Fermi energy (states/eV per atom)
1,0.395
2,0.491
3,0.580
4,0.554
5,0.059
6,0.550
7,0.529
8,0.449
9,0.480
10,0.763
11,0.596
12,0.379